! PBE ZnCr2W, optimized geometry; values from VASP
! Total moment, μB per cell: 0.00
! Mass density, Mg/m³: 10.9
! E, eV/cell: -32.4
&SYSTEM
  ibrav = 0, nat = 4, ntyp = 3
/
ATOMIC_SPECIES
Zn 65.41 Zn.upf
Cr 52.00 Cr.upf
W 183.84 W.upf
CELL_PARAMETERS angstrom
2.6205 -4.2443 0.0000
2.6205 4.2443 0.0000
-0.8757 0.0000 2.4192
ATOMIC_POSITIONS angstrom
Zn 0.0000 0.0000 0.0000
Cr 0.8724 2.1222 1.2096
Cr 0.8724 -2.1222 1.2096
W 2.6205 0.0000 0.0000



! PBE ZnCr2W, optimized geometry; values from VASP
! Total moment, μB per cell: 0.00
! Mass density, Mg/m³: 10.8
! E, eV/cell: -32.1
&SYSTEM
  ibrav = 0, nat = 4, ntyp = 3
/
ATOMIC_SPECIES
Zn 65.41 Zn.upf
Cr 52.00 Cr.upf
W 183.84 W.upf
CELL_PARAMETERS angstrom
2.5409 0.0000 0.0000
0.0000 3.9897 0.0000
0.0000 0.0000 5.3553
ATOMIC_POSITIONS angstrom
Zn 0.0000 0.0000 0.0000
Cr 1.2705 1.9948 1.2453
Cr 1.2705 1.9948 4.1100
W 0.0000 0.0000 2.6776